Record 1
DFT (PBE) results for an optimized crystal structure of HoMnZnHg.

The structure in POSCAR format:
```
HoMnZnHg
1.0
6.863 0.000 0.000
0.000 6.863 0.000
0.000 0.000 6.863
Ho Mn Zn Hg
4 4 4 4
direct
0.000 0.000 0.000
0.000 0.500 0.500
0.500 0.000 0.500
0.500 0.500 0.000
0.000 0.000 0.500
0.000 0.500 0.000
0.500 0.000 0.000
0.500 0.500 0.500
0.250 0.250 0.250
0.250 0.750 0.750
0.750 0.250 0.750
0.750 0.750 0.250
0.250 0.250 0.750
0.250 0.750 0.250
0.750 0.250 0.250
0.750 0.750 0.750
```

Calculated values
The value obtained for the volume is 20.199 A^3/atom. The calculation puts the energy of formation at -0.10 eV per atom.

---

Record 2
DFT (PBE) results for an optimized crystal structure of K3SbPt.

The structure in POSCAR format:
```
K3SbPt
1.0
5.698 -5.154 0.000
5.698 5.154 0.000
-4.993 0.000 6.630
K Sb Pt
6 2 2
direct
0.046 0.046 0.321
0.077 0.487 0.241
0.487 0.077 0.241
0.513 0.923 0.759
0.923 0.513 0.759
0.954 0.954 0.679
0.426 0.426 0.726
0.574 0.574 0.274
0.317 0.317 0.927
0.683 0.683 0.073
```

Calculated values
The value obtained for the volume is 38.936 A^3/atom. The energy relative to the lowest polymorph listed for this composition is 0.000 eV/atom. For the formation energy (no corrections), the calculation gives -211 meV/atom.

---

Record 3
DFT (PBE) results for an optimized crystal structure of Rb2AlBr6O.

The structure in POSCAR format:
```
Rb2AlBr6O
1.0
-3.700 3.700 5.574
3.700 -3.700 5.574
3.700 3.700 -5.574
Rb Al Br O
2 1 6 1
direct
0.250 0.750 0.500
0.750 0.250 0.500
0.000 0.000 0.000
0.224 0.224 0.000
0.243 0.243 0.487
0.243 0.757 0.000
0.757 0.243 0.000
0.757 0.757 0.513
0.776 0.776 0.000
0.500 0.500 0.000
```

Calculated values
The value obtained for the volume is 30.521 A^3/atom. For the formation energy (no corrections), the calculation gives -855 meV/atom.